18
Lattice="3.0461 0.0000 0.0000 0.0000 4.6223 0.0000 0.0000 0.0000 13.8485" Properties=species:S:1:pos:R:3 comment="V3O5F | Alexandria | PBE with a Hubbard U | relaxed" polymorph_energy_mev_per_atom=0 magnetic_moment_mub_per_fu=4.00 pbc="T T T"
V 0.0000 0.9377 0.0000
V 0.0000 0.9853 4.3526
V 0.0000 1.3412 9.0997
V 1.5231 3.2811 2.1755
V 1.5231 3.6370 11.2768
V 1.5231 3.6845 6.9243
O 0.0000 2.3689 3.1236
O 0.0000 2.6731 7.6336
O 0.0000 4.2791 1.2285
O 0.0000 4.4074 5.8349
O 0.0000 4.4992 10.4880
O 1.5231 0.1230 3.5637
O 1.5231 0.2149 12.7592
O 1.5231 0.3431 8.1528
O 1.5231 1.9492 0.7093
O 1.5231 2.2534 10.0478
F 0.0000 2.5979 12.2868
F 1.5231 2.0244 5.3626